DFT (PBE-GGA) results for crystalline Ac2SnHRh6 at its relaxed geometry.

Unit cell a=6.4205 b=6.4205 c=6.4190 alpha=119.88 beta=119.88 gamma=90.19
Closest atoms and distances in Å follow each position.
Element x y z (fractional)
Ac 0.2495 0.7505 0.0000  12 Rh 3.22-3.23
Ac 0.7505 0.2495 0.0000  12 Rh 3.22-3.23
Sn 0.0000 0.0000 0.5000  6 Rh 2.58
H 0.5000 0.5000 0.5000  6 Rh 1.95-1.97
Rh 0.2844 0.2844 0.0676  1 H 1.97
Rh 0.2838 0.7162 0.5000  1 H 1.97
Rh 0.2851 0.2851 0.5009  1 H 1.95
Rh 0.7149 0.7149 0.4991  1 H 1.95
Rh 0.7162 0.2838 0.5000  1 H 1.97
Rh 0.7156 0.7156 0.9324  1 H 1.97

Results
Final energy (eV per atom): -6.38
Density (g/cm³): 10.55
Space-group type: No. 12